(w)
First-principles (SCAN) data for a crystal of LiTaIr2 relaxed with PBEsol, as listed in Alexandria.

Lattice parameters (Å, degrees): 6.094 6.094 6.094 90.00 90.00 90.00
Space group Fm-3m (No. 225)
Asymmetric unit:
Li 0.000 0.000 0.000 [4 per cell]
Ta 0.000 0.000 0.500 [4 per cell]
Ir 0.250 0.250 0.250 [8 per cell]

Results
D(E_F) = 0.460 states/eV per cell


(x)
First-principles (SCAN) data for a crystal of LiTaIr2 relaxed with PBEsol, as listed in Alexandria.

Lattice parameters (Å, degrees): 6.129 6.129 6.129 90.00 90.00 90.00
Space group F-43m (No. 216)
Asymmetric unit:
Li 0.000 0.000 0.000 [4 per cell]
Ta 0.250 0.250 0.750 [4 per cell]
Ir 0.000 0.000 0.500 [4 per cell]
Ir 0.250 0.250 0.250 [4 per cell]

Results
D(E_F) = 19.568 states/eV per cell


(y)
First-principles (SCAN) data for a crystal of LiTaIr2 relaxed with PBEsol, as listed in Alexandria.

Lattice parameters (Å, degrees): 2.7387 2.7387 28.0289 90.00 90.00 120.00
Space group R3m (No. 160, hexagonal axes)
Asymmetric unit:
Li 0.0000 0.0000 0.0000 [3 per cell]
Ta 0.0000 0.0000 0.2377 [3 per cell]
Ir 0.0000 0.0000 0.4903 [3 per cell]
Ir 0.0000 0.0000 0.7436 [3 per cell]

Results
D(E_F) = 6.508 states/eV per cell


From most stable to least stable, the computed energies give (w), (x), (y).


(w)
First-principles (SCAN) data for a crystal of LiTaIr2 relaxed with PBEsol, as listed in Alexandria.

Lattice parameters (Å, degrees): 3.723 3.723 8.174 90.00 90.00 90.00
Space group I-4m2 (No. 119)
Asymmetric unit:
Li 0.000 0.000 0.000 [2 per cell]
Ta 0.000 0.500 0.250 [2 per cell]
Ir 0.000 0.000 0.500 [2 per cell]
Ir 0.000 0.500 0.750 [2 per cell]

Results
D(E_F) = 3.657 states/eV per cell


(x)
First-principles (SCAN) data for a crystal of LiTaIr2 relaxed with PBEsol, as listed in Alexandria.

Lattice parameters (Å, degrees): 8.500 2.759 4.919 90.00 97.14 90.00
Space group C2/m (No. 12)
Asymmetric unit:
Li 0.000 0.000 0.000 [2 per cell]
Ta 0.000 0.500 0.500 [2 per cell]
Ir 0.250 0.000 0.767 [4 per cell]

Results
D(E_F) = 4.156 states/eV per cell


From most stable to least stable, the computed energies give (w), (x).


(w)
First-principles (SCAN) data for a crystal of Li2TcIr relaxed with PBEsol, as listed in Alexandria.

Lattice parameters (Å, degrees): 5.864 5.864 5.864 90.00 90.00 90.00
Space group F-43m (No. 216)
Asymmetric unit:
Li 0.000 0.000 0.000 [4 per cell]
Li 0.250 0.250 0.250 [4 per cell]
Tc 0.000 0.000 0.500 [4 per cell]
Ir 0.250 0.250 0.750 [4 per cell]

Results
D(E_F) = 6.016 states/eV per cell


(x)
First-principles (SCAN) data for a crystal of Li2TcIr relaxed with PBEsol, as listed in Alexandria.

Lattice parameters (Å, degrees): 2.773 4.520 9.371 90.00 90.00 90.00
Space group Cmm2 (No. 35)
Asymmetric unit:
Li 0.000 0.000 0.000 [2 per cell]
Li 0.000 0.500 0.284 [2 per cell]
Tc 0.000 0.000 0.532 [2 per cell]
Ir 0.000 0.500 0.767 [2 per cell]

Results
D(E_F) = 5.989 states/eV per cell


(y)
First-principles (SCAN) data for a crystal of Li2TcIr relaxed with PBEsol, as listed in Alexandria.

Lattice parameters (Å, degrees): 2.665 3.921 5.422 90.00 90.00 90.00
Space group Pmm2 (No. 25)
Asymmetric unit:
Li 0.000 0.000 0.000 [1 per cell]
Li 0.500 0.500 0.216 [1 per cell]
Tc 0.000 0.000 0.528 [1 per cell]
Ir 0.500 0.500 0.701 [1 per cell]

Results
D(E_F) = 2.295 states/eV per cell


From most stable to least stable, the computed energies give (w), (y), (x).


(w)
First-principles (SCAN) data for a crystal of LiTc2Ir relaxed with PBEsol, as listed in Alexandria.

Lattice parameters (Å, degrees): 3.623 3.623 4.038 90.00 90.00 90.00
Space group P4/mmm (No. 123)
Asymmetric unit:
Li 0.000 0.000 0.000 [1 per cell]
Tc 0.000 0.500 0.500 [2 per cell]
Ir 0.500 0.500 0.000 [1 per cell]

Results
D(E_F) = 3.458 states/eV per cell


(x)
First-principles (SCAN) data for a crystal of LiTc2Ir relaxed with PBEsol, as listed in Alexandria.

Lattice parameters (Å, degrees): 2.770 4.486 9.056 90.00 90.00 90.00
Space group Cmm2 (No. 35)
Asymmetric unit:
Li 0.000 0.000 0.000 [2 per cell]
Tc 0.000 0.000 0.498 [2 per cell]
Tc 0.000 0.500 0.737 [2 per cell]
Ir 0.000 0.500 0.244 [2 per cell]

Results
D(E_F) = 6.237 states/eV per cell


From most stable to least stable, the computed energies give (x), (w).